# 1
DFT (PBE) results for Zn15Cu2Au2 after structural relaxation.

Unit cell a=6.818 b=6.818 c=6.818 alpha=77.61 beta=77.61 gamma=77.61
Positions (direct):
Zn1 0.319 0.681 0.000
Zn2 0.500 0.000 0.000
Zn3 0.681 0.000 0.319
Zn4 0.681 0.319 0.000
Zn5 0.660 0.161 0.660
Zn6 0.319 0.000 0.681
Zn7 0.340 0.340 0.839
Zn8 0.340 0.839 0.340
Zn9 0.000 0.500 0.000
Zn10 0.660 0.660 0.161
Zn11 0.161 0.660 0.660
Zn12 0.000 0.000 0.500
Zn13 0.000 0.319 0.681
Zn14 0.839 0.340 0.340
Zn15 0.000 0.681 0.319
Au1 0.717 0.717 0.717
Au2 0.283 0.283 0.283
Cu1 0.915 0.915 0.915
Cu2 0.085 0.085 0.085

Properties
Formation enthalpy at 0 K: 0.05 eV/atom

# 2
DFT (PBE) results for MgNb2Zn3 after structural relaxation.

Unit cell a=3.425 b=3.425 c=8.714 alpha=90.00 beta=90.00 gamma=90.00
Positions (direct):
Nb1 0.500 0.500 0.849
Nb2 0.500 0.500 0.151
Zn1 0.000 0.000 0.314
Zn2 0.000 0.000 0.000
Zn3 0.000 0.000 0.686
Mg1 0.500 0.500 0.500

Properties
Formation enthalpy at 0 K: 0.03 eV/atom

| no. | size of the total moment (μB per formula unit) |
| --- | --- |
| 1 | 0.00 |
| 2 | 0.00 |